Record 1
{"formula": "CdGaTcTe2", "functional": "PBE-GGA", "state": "relaxed", "dos_ef_per_ev_cell": 4.4, "space_group": "P4/mmm (123)", "crystal_system": "tetragonal", "formation_energy_uncorrected_ev_per_atom": 0.372, "lattice": [[-3.772, -3.369, 1.315], [1.242, -3.018, -4.172], [3.403, -2.663, 2.939]], "species": ["Ga", "Cd", "Te", "Tc", "Te"], "frac_coords": [[0.500, 0.500, 0.500], [0.000, 0.500, 0.000], [0.500, 0.000, 0.000], [0.000, 0.000, 0.000], [0.000, 0.000, 0.500]]}

---

Record 2
{"formula": "Ca2ScIn2", "functional": "PBE-GGA", "state": "relaxed", "dos_ef_per_ev_cell": 4.2, "e_form_ev_per_fu": -1.32, "space_group": "P4/mbm (127)", "crystal_system": "tetragonal", "lattice": [[-1.985, 7.714, 2.658], [-5.888, 0.539, -5.962], [-2.776, -1.609, 2.596]], "species": ["In", "In", "In", "Ca", "Ca", "Sc", "Sc", "In", "Ca", "Ca"], "frac_coords": [[0.133, 0.367, 0.000], [0.367, 0.867, 0.000], [0.633, 0.133, 0.000], [0.669, 0.831, 0.500], [0.831, 0.331, 0.500], [0.000, 0.000, 0.000], [0.500, 0.500, 0.000], [0.867, 0.633, 0.000], [0.331, 0.169, 0.500], [0.169, 0.669, 0.500]]}

---

> What is the formula in the second record?

Ca2ScIn2